[1]
{
  "formula": "La6Ge2PtI3",
  "functional": "PBE-GGA",
  "state": "optimized geometry",
  "cell": [[3.888, -6.682, 0.000], [3.888, 6.682, 0.000], [-2.611, 0.000, 7.637]],
  "species": ["La", "La", "La", "La", "La", "La", "Ge", "Ge", "Pt", "I", "I", "I"],
  "fractional_positions": [[0.067, 0.391, 0.202], [0.261, 0.261, 0.790], [0.391, 0.067, 0.202], [0.609, 0.933, 0.798], [0.739, 0.739, 0.210], [0.933, 0.609, 0.798], [0.334, 0.666, 0.000], [0.666, 0.334, 0.000], [0.000, 0.000, 0.000], [0.174, 0.826, 0.500], [0.500, 0.500, 0.500], [0.826, 0.174, 0.500]]
}

=====

[2]
{
  "formula": "La4GePtI2",
  "functional": "PBE-GGA",
  "state": "optimized geometry",
  "cell": [[7.920, 0.000, 0.000], [0.000, 4.304, 0.000], [-2.434, 0.000, 7.839]],
  "species": ["La", "La", "La", "La", "Ge", "Pt", "I", "I"],
  "fractional_positions": [[0.218, 0.000, 0.191], [0.266, 0.500, 0.793], [0.734, 0.500, 0.207], [0.782, 0.000, 0.809], [0.500, 0.000, 0.000], [0.000, 0.500, 0.000], [0.000, 0.000, 0.500], [0.500, 0.500, 0.500]]
}

=====

[3]
{
  "formula": "La6GePt2I3",
  "functional": "PBE-GGA",
  "state": "optimized geometry",
  "cell": [[3.767, -6.695, 0.000], [3.767, 6.695, 0.000], [-2.537, 0.000, 7.992]],
  "species": ["La", "La", "La", "La", "La", "La", "Ge", "Pt", "Pt", "I", "I", "I"],
  "fractional_positions": [[0.088, 0.427, 0.807], [0.226, 0.226, 0.197], [0.427, 0.088, 0.807], [0.573, 0.912, 0.193], [0.774, 0.774, 0.803], [0.912, 0.573, 0.193], [0.500, 0.500, 0.000], [0.168, 0.832, 0.000], [0.832, 0.168, 0.000], [0.000, 0.000, 0.500], [0.337, 0.663, 0.500], [0.663, 0.337, 0.500]]
}

=====

[4]
{
  "formula": "La6GeRh2I3",
  "functional": "PBE-GGA",
  "state": "optimized geometry",
  "cell": [[3.763, -6.504, 0.000], [3.763, 6.504, 0.000], [-2.512, 0.000, 8.103]],
  "species": ["La", "La", "La", "La", "La", "La", "Ge", "Rh", "Rh", "I", "I", "I"],
  "fractional_positions": [[0.091, 0.437, 0.808], [0.217, 0.217, 0.191], [0.437, 0.091, 0.808], [0.563, 0.909, 0.192], [0.783, 0.783, 0.809], [0.909, 0.563, 0.192], [0.500, 0.500, 0.000], [0.167, 0.833, 0.000], [0.833, 0.167, 0.000], [0.000, 0.000, 0.500], [0.338, 0.662, 0.500], [0.662, 0.338, 0.500]]
}

=====

[5]
{
  "formula": "La8Ge3RhI4",
  "functional": "PBE-GGA",
  "state": "optimized geometry",
  "cell": [[7.727, -4.426, 0.000], [7.727, 4.426, 0.000], [-5.150, 0.000, 7.767]],
  "species": ["La", "La", "La", "La", "La", "La", "La", "La", "Ge", "Ge", "Ge", "Rh", "I", "I", "I", "I"],
  "fractional_positions": [[0.224, 0.747, 0.695], [0.234, 0.234, 0.704], [0.253, 0.776, 0.305], [0.264, 0.264, 0.292], [0.736, 0.736, 0.708], [0.747, 0.224, 0.695], [0.766, 0.766, 0.296], [0.776, 0.253, 0.305], [0.000, 0.500, 0.500], [0.500, 0.000, 0.500], [0.500, 0.500, 0.500], [0.000, 0.000, 0.500], [0.000, 0.000, 0.000], [0.000, 0.500, 0.000], [0.500, 0.000, 0.000], [0.500, 0.500, 0.000]]
}

=====

[6]
{
  "formula": "La8GeRh3I3",
  "functional": "PBE-GGA",
  "state": "optimized geometry",
  "cell": [[8.625, 0.000, 0.000], [-4.310, 7.473, 0.000], [-0.003, -4.976, 7.893]],
  "species": ["La", "La", "La", "La", "La", "La", "La", "La", "Ge", "Rh", "Rh", "Rh", "I", "I", "I"],
  "fractional_positions": [[0.217, 0.456, 0.196], [0.232, 0.964, 0.195], [0.260, 0.543, 0.804], [0.261, 0.021, 0.804], [0.739, 0.979, 0.196], [0.740, 0.457, 0.196], [0.768, 0.036, 0.805], [0.783, 0.544, 0.804], [0.500, 0.500, 0.000], [0.000, 0.000, 0.000], [0.000, 0.500, 0.000], [0.500, 0.000, 0.000], [0.000, 0.000, 0.500], [0.500, 0.000, 0.500], [0.500, 0.500, 0.500]]
}

=====

| no. | total moment (μB/cell) | final energy (eV per atom) |
| --- | --- | --- |
| 1 | 0.0 | -5.221 |
| 2 | 0.0 | -5.298 |
| 3 | 0.0 | -5.375 |
| 4 | 0.0 | -5.470 |
| 5 | 0.0 | -5.228 |
| 6 | 0.0 | -5.600 |